Run i
A plane-wave DFT calculation with PBE-GGA was carried out for crystalline RbMg14Ti at its relaxed geometry.

Cell lengths 6.5718, 6.5718, 10.4573 Å; angles 90.00, 90.00, 120.00 degrees
With the nearest neighbours (Å) after each atom.
Fractional positions:
Rb 0.0000 0.0000 0.0000  12 Mg 3.29-3.42
Mg 0.0113 0.5056 0.0000  10 Mg 3.17-3.40, 2 Rb 3.29
Mg 0.1674 0.3348 0.2711  1 Ti 3.06, 10 Mg 3.06-3.39, 1 Rb 3.42
Mg 0.1674 0.3348 0.7289  1 Ti 3.06, 10 Mg 3.06-3.39, 1 Rb 3.42
Mg 0.1674 0.8326 0.2711  1 Ti 3.06, 10 Mg 3.06-3.39, 1 Rb 3.42
Mg 0.1674 0.8326 0.7289  1 Ti 3.06, 10 Mg 3.06-3.39, 1 Rb 3.42
Mg 0.4944 0.5056 0.0000  10 Mg 3.17-3.40, 2 Rb 3.29
Mg 0.4944 0.9887 0.0000  10 Mg 3.17-3.40, 2 Rb 3.29
Mg 0.5025 0.0050 0.5000  10 Mg 3.06-3.34, 2 Ti 3.29
Mg 0.5025 0.4975 0.5000  10 Mg 3.06-3.34, 2 Ti 3.29
Mg 0.6652 0.8326 0.2711  1 Ti 3.06, 10 Mg 3.06-3.39, 1 Rb 3.42
Mg 0.6652 0.8326 0.7289  1 Ti 3.06, 10 Mg 3.06-3.39, 1 Rb 3.42
Mg 0.6667 0.3333 0.2439  12 Mg 3.22-3.30
Mg 0.6667 0.3333 0.7561  12 Mg 3.22-3.30
Mg 0.9950 0.4975 0.5000  10 Mg 3.06-3.34, 2 Ti 3.29
Ti 0.0000 0.0000 0.5000  12 Mg 3.06-3.29

Properties
theoretical density	2011	kg/m3
crystal system	hexagonal
spin magnetization	0.04	μB/atom


Run ii
A plane-wave DFT calculation with PBE-GGA was carried out for crystalline RbMg14Ti at its relaxed geometry.

Cell lengths 10.6741, 6.4945, 6.4945 Å; angles 60.47, 90.00, 90.00 degrees
With the nearest neighbours (Å) after each atom.
Fractional positions:
Rb 0.0000 0.0000 0.0000  10 Mg 3.21-3.40, 2 Ti 3.28
Mg 0.0000 0.0070 0.5023  2 Ti 3.09-3.41, 8 Mg 3.19-3.44, 2 Rb 3.21-3.28
Mg 0.0000 0.5023 0.0070  2 Ti 3.09-3.41, 8 Mg 3.19-3.44, 2 Rb 3.21-3.28
Mg 0.2371 0.3505 0.3505  11 Mg 3.18-3.37, 1 Ti 3.18
Mg 0.2569 0.3556 0.8364  10 Mg 3.14-3.40, 1 Ti 3.27, 1 Rb 3.40
Mg 0.2569 0.8364 0.3556  10 Mg 3.14-3.40, 1 Ti 3.27, 1 Rb 3.40
Mg 0.2680 0.8390 0.8390  11 Mg 3.11-3.44, 1 Rb 3.38
Mg 0.5000 0.0142 0.0142  12 Mg 3.16-3.28
Mg 0.5000 0.0204 0.5065  12 Mg 3.11-3.37
Mg 0.5000 0.5065 0.0204  12 Mg 3.11-3.37
Mg 0.5000 0.5135 0.5135  12 Mg 3.17-3.35
Mg 0.7320 0.8390 0.8390  11 Mg 3.11-3.44, 1 Rb 3.38
Mg 0.7431 0.3556 0.8364  10 Mg 3.14-3.40, 1 Ti 3.27, 1 Rb 3.40
Mg 0.7431 0.8364 0.3556  10 Mg 3.14-3.40, 1 Ti 3.27, 1 Rb 3.40
Mg 0.7629 0.3505 0.3505  11 Mg 3.18-3.37, 1 Ti 3.18
Ti 0.0000 0.5221 0.5221  10 Mg 3.09-3.41, 2 Rb 3.28

Properties
theoretical density	2008	kg/m3
crystal system	orthorhombic
spin magnetization	0.12	μB/atom


Stability ranking, top entry: run i; the second entry is 29 meV/atom less favorable.